No. 1
{"formula": "Cs3Te3As", "functional": "GGA-PBE", "state": "relaxed", "cell": [[-2.156, -4.181, -3.129], [13.093, -1.283, -7.305], [5.041, -10.778, 10.929]], "species": ["Cs", "Te", "Te", "Cs", "As", "Te", "Te", "Cs", "Cs", "Te", "Te", "Cs", "Cs", "Te", "Cs", "Cs", "Cs", "Te", "As", "Cs", "As", "Te", "Cs", "Cs", "Te", "As", "Te", "Te"], "fractional_positions": [[0.750, 0.419, 0.898], [0.250, 0.590, 0.865], [0.750, 0.410, 0.135], [0.250, 0.770, 0.287], [0.750, 0.443, 0.298], [0.250, 0.007, 0.173], [0.750, 0.910, 0.365], [0.250, 0.871, 0.975], [0.250, 0.270, 0.213], [0.250, 0.507, 0.327], [0.250, 0.213, 0.877], [0.750, 0.919, 0.602], [0.250, 0.081, 0.398], [0.250, 0.713, 0.623], [0.250, 0.581, 0.102], [0.250, 0.371, 0.525], [0.750, 0.129, 0.025], [0.750, 0.287, 0.377], [0.250, 0.057, 0.798], [0.750, 0.230, 0.713], [0.250, 0.557, 0.702], [0.750, 0.787, 0.123], [0.750, 0.629, 0.475], [0.750, 0.730, 0.787], [0.750, 0.993, 0.827], [0.750, 0.943, 0.202], [0.250, 0.090, 0.635], [0.750, 0.493, 0.673]], "sg": "Pnma", "total_energy_ev_per_cell": -87.65, "raw_formation_energy_kj_per_mol_atoms": -72.7}

***

No. 2
{"formula": "CsTe2As", "functional": "GGA-PBE", "state": "relaxed", "cell": [[-6.824, -1.065, 5.314], [5.370, -0.184, 6.860], [-1.124, 4.100, 6.524]], "species": ["Te", "Te", "Te", "Cs", "Cs", "As", "As", "Te"], "fractional_positions": [[0.875, 0.769, 0.750], [0.231, 0.625, 0.250], [0.519, 0.125, 0.250], [0.000, 0.000, 0.000], [0.750, 0.250, 0.500], [0.500, 0.500, 0.000], [0.250, 0.750, 0.500], [0.375, 0.481, 0.750]], "sg": "I-42d", "total_energy_ev_per_cell": -26.58, "raw_formation_energy_kj_per_mol_atoms": -36.3}

***

No. 3
{"formula": "Cs3Te4As", "functional": "GGA-PBE", "state": "relaxed", "cell": [[-1.608, 8.094, -0.621], [-5.090, -5.883, 2.825], [5.415, -1.890, 5.966]], "species": ["Te", "Te", "Cs", "Te", "As", "Cs", "Cs", "Te"], "fractional_positions": [[0.130, 0.801, 0.329], [0.179, 0.683, 0.862], [0.590, 0.744, 0.334], [0.179, 0.317, 0.497], [0.015, 0.500, 0.515], [0.590, 0.256, 0.846], [0.940, 0.000, 0.940], [0.528, 0.199, 0.329]], "sg": "Imm2", "total_energy_ev_per_cell": -24.70, "raw_formation_energy_kj_per_mol_atoms": -59.4}